Material: AlTc2Pb
Method: DFT, GGA-PBE
State: optimized geometry

Properties
The volume comes out at 18.60 A^3/atom. For the energy above the most stable polymorph in this dataset, the calculation gives 0 meV per atom. The value obtained for the energy of formation from the pure elements is 0.058 eV/atom. As for the space group: Amm2.

Cell: 3.0170 3.0222 8.2963 Å, 79.53 90.00 90.00°
Last column: nearest neighbours and their distance in Å.
Positions (direct):
Al 0.0000 0.7237 0.4287  4 Tc 2.65
Tc 0.5000 0.3196 0.2365  4 Tc 2.61, 4 Al 2.65
Pb 0.5000 0.5456 0.7822  4 Pb 3.02, 4 Tc 3.07, 2 Al 3.25
Tc 0.0000 0.9111 0.0526  4 Tc 2.61